DFT (GGA+U) results for a geometry-optimized Li2MnF4 structure.

Cell: 5.7913 10.4732 5.0605 Å, 90.00 90.00 90.00°
Space group Pmmn (No. 59, origin choice 2)
One atom of each set of equivalent atoms:
Li1 0.0000 0.0000 0.0000 x4
Li2 0.2500 0.0226 0.4880 x4
Mn1 0.2500 0.2500 0.8629 x2
Mn2 0.2500 0.7500 0.5293 x2
F1 0.0006 0.1212 0.6690 x8
F2 0.2500 0.1059 0.1487 x4
F3 0.2500 0.5993 0.7980 x4

## Properties
Energy relative to the lowest polymorph listed for this composition = 25 meV/atom
E_tot = -0.20133 hartree per atom
Total moment = 20.00 Bohr magnetons per cell


DFT (GGA+U) results for a geometry-optimized Li10Mn3F16 structure.

Cell: 6.0740 6.0740 28.7972 Å, 90.00 90.00 120.00°
Space group R-3m (No. 166, hexagonal axes)
One atom of each set of equivalent atoms:
Li1 0.0000 0.0000 0.0000 x3
Li2 0.0000 0.5000 0.5000 x9
Li3 0.0050 0.5025 0.7488 x18
Mn1 0.0000 0.0000 0.3069 x6
Mn2 0.0000 0.0000 0.5000 x3
F1 0.0000 0.0000 0.1281 x6
F2 0.0000 0.0000 0.3787 x6
F3 0.0058 0.5029 0.1250 x18
F4 0.0359 0.5179 0.6226 x18

## Properties
E_tot = -0.19427 hartree per atom
Total moment = 45.00 Bohr magnetons per cell


DFT (GGA+U) results for a geometry-optimized LiMnF4 structure.

Cell: 6.8730 6.8730 5.9760 Å, 90.00 90.00 90.00°
Space group I4_1md (No. 109)
One atom of each set of equivalent atoms:
Li1 0.0000 0.0000 0.0000 x4
Mn1 0.0000 0.0000 0.5142 x4
F1 0.0000 0.3106 0.9895 x8
F2 0.0000 0.3160 0.5247 x8

## Properties
E_tot = -0.20061 hartree per atom
Total moment = 16.00 Bohr magnetons per cell


DFT (GGA+U) results for a geometry-optimized Li2MnF4 structure.

Cell: 2.9683 9.6621 9.8658 Å, 90.00 90.00 90.00°
Space group Cmcm (No. 63)
One atom of each set of equivalent atoms:
Li1 0.0000 0.1254 0.0620 x8
Mn1 0.0000 0.3804 0.2500 x4
F1 0.0000 0.0395 0.2500 x4
F2 0.0000 0.2227 0.6179 x8
F3 0.0000 0.5000 0.0000 x4

## Properties
Energy relative to the lowest polymorph listed for this composition = 27 meV/atom
E_tot = -0.20123 hartree per atom
Total moment = 20.00 Bohr magnetons per cell


DFT (GGA+U) results for a geometry-optimized Li3Mn3F8 structure.

Cell: 6.4285 6.4285 15.2060 Å, 90.00 90.00 120.00°
Space group R-3m (No. 166, hexagonal axes)
One atom of each set of equivalent atoms:
Li1 0.0000 0.0000 0.0000 x3
Li2 0.0000 0.0000 0.3790 x6
Mn1 0.0000 0.5000 0.5000 x9
F1 0.0000 0.0000 0.2490 x6
F2 0.0200 0.5100 0.7504 x18

## Properties
E_tot = -0.20592 hartree per atom
Total moment = 46.63 Bohr magnetons per cell


DFT (GGA+U) results for a geometry-optimized Li2MnF4 structure.

Cell: 5.2529 3.2367 10.5304 Å, 90.00 112.65 90.00°
Space group P2/c (No. 13)
One atom of each set of equivalent atoms:
Li1 0.1560 0.0023 0.4226 x4
Mn1 0.5000 0.4981 0.7500 x2
F1 0.2445 0.0019 0.1221 x4
F2 0.2625 0.4976 0.8689 x4

## Properties
Energy relative to the lowest polymorph listed for this composition = 8 meV/atom
E_tot = -0.20195 hartree per atom
Total moment = 10.00 Bohr magnetons per cell